(1)
Y4SnPd after structural relaxation. Source: Alexandria, functional PBE.

```
12
Lattice="5.926 -0.283 0.000 -1.855 8.253 0.000 -2.035 -3.985 6.906" Properties=species:S:1:pos:R:3 pbc="T T T"
Y -1.873 -1.629 5.895
Y 2.006 3.041 4.400
Y -1.090 1.771 5.895
Y -0.898 5.070 4.400
Y 2.933 -1.085 2.506
Y 3.125 2.214 1.011
Y 0.030 0.943 2.506
Y 3.908 5.613 1.011
Sn 0.554 4.055 1.721
Sn 1.481 -0.071 5.185
Pd -2.409 4.197 6.885
Pd 4.444 -0.213 0.021
```

Its symmetry is No. 15. Its energy of formation from the pure elements is -0.5385 eV/atom. The value obtained for the total magnetic moment is 0.001 Bohr magnetons per cell. As for the crystal system: monoclinic. As for the theoretical density: 5.77 Mg/m³. The volume comes out at 27.841 Å³/atom.

(2)
Y3Sn3Pd2 after structural relaxation. Source: Alexandria, functional PBE.

```
32
Lattice="5.936 0.000 0.000 0.000 8.419 0.000 0.000 0.000 15.348" Properties=species:S:1:pos:R:3 pbc="T T T"
Y 0.742 3.935 5.965
Y 3.710 0.275 9.383
Y 5.193 4.484 13.640
Y 2.226 8.145 1.709
Y 5.193 4.484 9.383
Y 2.226 8.145 5.965
Y 0.742 3.935 1.709
Y 3.710 0.275 13.640
Y 3.766 2.735 3.837
Y 0.798 1.474 11.511
Y 2.170 5.684 11.511
Y 5.137 6.945 3.837
Sn 0.762 1.563 3.837
Sn 3.729 2.647 11.511
Sn 5.174 6.857 11.511
Sn 2.206 5.772 3.837
Sn 3.573 2.534 7.106
Sn 0.605 1.675 8.243
Sn 2.363 5.885 14.780
Sn 5.331 6.744 0.569
Sn 2.363 5.885 8.243
Sn 5.331 6.744 7.106
Sn 3.573 2.534 0.569
Sn 0.605 1.675 14.780
Pd 5.189 0.726 5.961
Pd 2.221 3.484 9.387
Pd 0.746 7.693 13.635
Pd 3.714 4.936 1.713
Pd 0.746 7.693 9.387
Pd 3.714 4.936 5.961
Pd 5.189 0.726 1.713
Pd 2.221 3.484 13.635
```

Its symmetry is No. 62. Its energy of formation from the pure elements is -0.8546 eV/atom. The value obtained for the total magnetic moment is 0.000 Bohr magnetons per cell. As for the crystal system: orthorhombic. As for the theoretical density: 7.24 Mg/m³. The volume comes out at 23.969 Å³/atom.

(3)
Y3SnPd12 after structural relaxation. Source: Alexandria, functional PBE.

```
16
Lattice="4.121 0.000 0.000 0.000 4.121 0.000 0.000 0.000 16.369" Properties=species:S:1:pos:R:3 pbc="T T T"
Y 0.000 0.000 4.051
Y 0.000 0.000 8.184
Y 0.000 0.000 12.318
Sn 0.000 0.000 0.000
Pd 2.060 2.060 0.000
Pd 2.060 2.060 4.010
Pd 2.060 2.060 8.184
Pd 2.060 2.060 12.359
Pd 2.060 0.000 1.941
Pd 2.060 0.000 6.109
Pd 2.060 0.000 10.260
Pd 2.060 0.000 14.428
Pd 0.000 2.060 1.941
Pd 0.000 2.060 6.109
Pd 0.000 2.060 10.260
Pd 0.000 2.060 14.428
```

Its symmetry is No. 123. Its energy of formation from the pure elements is -0.7610 eV/atom. The value obtained for the total magnetic moment is 0.000 Bohr magnetons per cell. As for the crystal system: tetragonal. As for the theoretical density: 9.93 Mg/m³. The volume comes out at 17.374 Å³/atom.

(4)
Y2SnPd after structural relaxation. Source: Alexandria, functional PBE.

```
4
Lattice="-1.810 -3.053 -0.392 1.746 -1.393 2.786 -5.419 2.609 4.701" Properties=species:S:1:pos:R:3 pbc="T T T"
Y -4.201 2.022 3.645
Y -1.218 0.586 1.057
Sn -2.741 -0.919 3.547
Pd -0.032 -2.223 1.197
```

Its symmetry is No. 123. Its energy of formation from the pure elements is -0.7706 eV/atom. The value obtained for the total magnetic moment is 0.000 Bohr magnetons per cell. As for the crystal system: tetragonal. As for the theoretical density: 6.87 Mg/m³. The volume comes out at 24.333 Å³/atom.

(5)
Y7Sn2Pd2 after structural relaxation. Source: Alexandria, functional PBE.

```
11
Lattice="6.869 -0.004 -0.817 0.003 7.067 0.003 -1.243 -0.002 6.804" Properties=species:S:1:pos:R:3 pbc="T T T"
Y -0.620 1.809 3.403
Y 3.437 5.256 -0.406
Y 6.249 5.253 2.587
Y 2.192 1.806 6.396
Y 0.000 0.000 0.000
Y 2.815 5.345 2.996
Y 2.814 1.717 2.994
Sn 4.617 3.529 4.914
Sn 1.012 3.533 1.077
Pd 4.548 -0.003 1.363
Pd 1.081 7.064 4.627
```

Its symmetry is No. 65. Its energy of formation from the pure elements is -0.4440 eV/atom. The value obtained for the total magnetic moment is 0.000 Bohr magnetons per cell. As for the crystal system: orthorhombic. As for the theoretical density: 5.51 Mg/m³. The volume comes out at 29.374 Å³/atom.

(6)
YSn2Pd4 after structural relaxation. Source: Alexandria, functional PBE.

```
7
Lattice="-4.958 -1.192 -0.319 -0.174 -0.630 5.068 -4.178 5.590 3.128" Properties=species:S:1:pos:R:3 pbc="T T T"
Y 0.000 0.000 0.000
Sn -2.927 0.543 2.543
Sn -6.384 3.225 5.333
Pd -3.554 3.073 2.836
Pd -5.757 0.694 5.040
Pd -0.087 -0.315 2.534
Pd -2.479 -0.596 -0.159
```

Its symmetry is No. 139. Its energy of formation from the pure elements is 0.1581 eV/atom. The value obtained for the total magnetic moment is 0.000 Bohr magnetons per cell. As for the crystal system: tetragonal. As for the theoretical density: 7.10 Mg/m³. The volume comes out at 25.140 Å³/atom.

volume of number 3 (Y3SnPd12)? 17.374 Å³/atom

Which formula does entry 3 have? Y3SnPd12